1.
InHgRh2 after structural relaxation. Source: Alexandria via LeMat-Bulk, functional PBEsol.

The structure in extended XYZ format:
```
4
Lattice="2.9604 0.0000 0.0000 0.0000 3.9920 0.0000 0.0000 0.0000 5.6463" Properties=species:S:1:pos:R:3 pbc="T T T"
In 0.0000 0.0000 0.0000
Hg 1.4802 1.9960 3.8906
Rh 0.0000 0.0000 2.6895
Rh 1.4802 1.9960 1.1541
```

Summary:
Size of the total moment = 0.001 Bohr magnetons per cell
Symmetry = Pmm2
Crystal system = orthorhombic
Energy relative to the elements = 0.96 kcal/mol of atoms

2.
Sc2SbAu after structural relaxation. Source: Alexandria via LeMat-Bulk, functional PBEsol.

The structure in extended XYZ format:
```
4
Lattice="1.6649 0.9612 9.3813 -1.6649 0.9612 9.3813 0.0000 -1.9225 9.3813" Properties=species:S:1:pos:R:3 pbc="T T T"
Sc 0.0000 0.0000 0.0000
Sc 0.0000 0.0000 6.7725
Sb 0.0000 0.0000 21.1645
Au 0.0000 0.0000 14.1928
```

Summary:
Size of the total moment = 1.103 Bohr magnetons per cell
Symmetry = R3m
ΔE_f (raw) = -250 meV/atom
Crystal system = trigonal

3.
Ba2SiSb after structural relaxation. Source: Alexandria via LeMat-Bulk, functional PBEsol.

The structure in extended XYZ format:
```
4
Lattice="3.7081 0.0000 0.0000 0.0000 4.6775 0.0000 0.0000 0.0000 7.4694" Properties=species:S:1:pos:R:3 pbc="T T T"
Ba 0.0000 0.0000 1.7662
Ba 0.0000 0.0000 5.7032
Si 1.8540 2.3387 0.0000
Sb 1.8540 2.3387 3.7347
```

Summary:
Size of the total moment = 0.000 Bohr magnetons per cell
Symmetry = Pmmm
ΔE_f (raw) = -466 meV/atom
Crystal system = orthorhombic

4.
BaMoRh2 after structural relaxation. Source: Alexandria via LeMat-Bulk, functional PBEsol.

The structure in extended XYZ format:
```
4
Lattice="3.1633 0.0000 0.0000 0.0000 4.3164 0.0000 -0.9349 0.0000 6.2029" Properties=species:S:1:pos:R:3 pbc="T T T"
Ba 0.0000 0.0000 0.0000
Mo 2.2021 2.1582 2.7651
Rh 0.6152 2.1582 4.6297
Rh 0.9679 0.0000 2.9733
```

Summary:
Excess energy over the best structure of this formula in the dataset = 0 meV per atom
Size of the total moment = 0.000 Bohr magnetons per cell
Symmetry = Pm
Crystal system = monoclinic
Energy relative to the elements = 10.27 kcal/mol of atoms

5.
MgTlPb2 after structural relaxation. Source: Alexandria via LeMat-Bulk, functional PBEsol.

The structure in extended XYZ format:
```
4
Lattice="1.7287 0.9981 10.5873 -1.7287 0.9981 10.5873 0.0000 -1.9961 10.5873" Properties=species:S:1:pos:R:3 pbc="T T T"
Mg 0.0000 0.0000 0.0000
Tl 0.0000 0.0000 8.1447
Pb 0.0000 0.0000 15.9824
Pb 0.0000 0.0000 23.6787
```

Summary:
Size of the total moment = 0.000 Bohr magnetons per cell
Symmetry = R3m
Crystal system = trigonal
Energy relative to the elements = -0.48 kcal/mol of atoms

6.
CaZrPF2 after structural relaxation. Source: Alexandria via LeMat-Bulk, functional PBEsol.

The structure in extended XYZ format:
```
5
Lattice="4.3091 0.0000 0.0000 0.0000 4.3091 0.0000 0.0000 0.0000 5.5472" Properties=species:S:1:pos:R:3 pbc="T T T"
Ca 0.0000 0.0000 0.0000
Zr 2.1545 2.1545 0.0000
P 0.0000 0.0000 2.7736
F 0.0000 2.1545 2.7736
F 2.1545 0.0000 2.7736
```

Summary:
Size of the total moment = 2.032 Bohr magnetons per cell
Symmetry = P4/mmm
ΔE_f (raw) = -83 meV/atom
Crystal system = tetragonal

7.
Mn2SbAs after structural relaxation. Source: Alexandria via LeMat-Bulk, functional PBEsol.

The structure in extended XYZ format:
```
4
Lattice="2.9959 0.0000 0.0000 0.0000 2.9959 0.0000 0.0000 0.0000 6.1234" Properties=species:S:1:pos:R:3 pbc="T T T"
Mn 0.0000 0.0000 1.3781
Mn 0.0000 0.0000 4.7453
Sb 1.4980 1.4980 3.0617
As 1.4980 1.4980 0.0000
```

Summary:
Size of the total moment = 0.218 Bohr magnetons per cell
Symmetry = P4/mmm
ΔE_f (raw) = 217 meV/atom
Crystal system = tetragonal

8.
CaYIn2 after structural relaxation. Source: Alexandria via LeMat-Bulk, functional PBEsol.

The structure in extended XYZ format:
```
4
Lattice="3.4352 0.0000 0.0000 0.0000 4.3970 0.0000 0.0000 0.0000 6.8817" Properties=species:S:1:pos:R:3 pbc="T T T"
Ca 0.0000 0.0000 0.0000
Y 0.0000 0.0000 3.4409
In 1.7176 2.1985 1.8095
In 1.7176 2.1985 5.0723
```

Summary:
Size of the total moment = 0.000 Bohr magnetons per cell
Symmetry = Pmmm
Crystal system = orthorhombic
Energy relative to the elements = -12.01 kcal/mol of atoms

9.
TiTcPO2 after structural relaxation. Source: Alexandria via LeMat-Bulk, functional PBEsol.

The structure in extended XYZ format:
```
5
Lattice="3.6915 0.0000 0.0000 0.0000 3.6915 0.0000 0.0000 0.0000 5.1377" Properties=species:S:1:pos:R:3 pbc="T T T"
Ti 0.0000 0.0000 0.0000
Tc 1.8457 1.8457 2.5689
P 1.8457 1.8457 0.0000
O 0.0000 1.8457 2.5689
O 1.8457 0.0000 2.5689
```

Summary:
Excess energy over the best structure of this formula in the dataset = 47 meV per atom
Size of the total moment = 1.128 Bohr magnetons per cell
Symmetry = P4/mmm
ΔE_f (raw) = -815 meV/atom
Crystal system = tetragonal

10.
AlCr after structural relaxation. Source: Alexandria via LeMat-Bulk, functional PBEsol.

The structure in extended XYZ format:
```
4
Lattice="-1.5138 2.0813 4.0749 1.5138 -2.0813 4.0749 1.5138 2.0813 -4.0749" Properties=species:S:1:pos:R:3 pbc="T T T"
Al 0.0000 1.0407 0.9168
Al 1.5138 1.0407 3.1581
Cr 1.5138 1.0407 -1.2081
Cr 0.0000 1.0407 5.2830
```

Summary:
Size of the total moment = 0.000 Bohr magnetons per cell
Symmetry = Imma
Crystal system = orthorhombic
Energy relative to the elements = -1.85 kcal/mol of atoms

11.
Li2VO2F after structural relaxation. Source: Alexandria via LeMat-Bulk, functional PBEsol.

The structure in extended XYZ format:
```
12
Lattice="2.8511 0.0000 0.0000 0.0000 4.0261 0.0000 0.0000 0.0000 8.8514" Properties=species:S:1:pos:R:3 pbc="T T T"
Li 0.7128 1.0065 0.7361
Li 0.7128 1.0065 6.8127
Li 2.1383 3.0195 2.0387
Li 2.1383 3.0195 8.1153
V 0.7128 1.0065 3.5672
V 2.1383 3.0195 5.2842
O 0.7128 3.0195 3.7780
O 0.7128 3.0195 6.5966
O 2.1383 1.0065 2.2548
O 2.1383 1.0065 5.0734
F 0.7128 3.0195 0.6940
F 2.1383 1.0065 8.1574
```

Summary:
Excess energy over the best structure of this formula in the dataset = 46 meV per atom
Size of the total moment = 3.982 Bohr magnetons per cell
Symmetry = Pmmn
ΔE_f (raw) = -2467 meV/atom
Crystal system = orthorhombic

12.
CaTaS2Cl after structural relaxation. Source: Alexandria via LeMat-Bulk, functional PBEsol.

The structure in extended XYZ format:
```
5
Lattice="5.0615 0.0000 0.0000 0.0000 5.0615 0.0000 0.0000 0.0000 4.7570" Properties=species:S:1:pos:R:3 pbc="T T T"
Ca 0.0000 0.0000 0.0000
Ta 2.5308 2.5308 2.3785
S 0.0000 2.5308 0.0000
S 2.5308 0.0000 0.0000
Cl 0.0000 0.0000 2.3785
```

Summary:
Size of the total moment = 1.997 Bohr magnetons per cell
Symmetry = P4/mmm
ΔE_f (raw) = 388 meV/atom
Crystal system = tetragonal